No. 1
CdHg2Br: optimized geometry, GGA-PBE.

Energy relative to the elements, uncorrected: -0.15 eV/atom
Offset from the most stable computed form: 47 meV per atom
Total magnetic moment: 0.00 μB/atom

Unit cell a=3.616 b=3.616 c=8.594 alpha=90.00 beta=90.00 gamma=90.00
Sites, in units of the cell vectors:
Cd (0.000, 0.000, 0.000)
Hg (0.000, 0.000, 0.475)
Hg (0.500, 0.500, 0.219)
Br (0.500, 0.500, 0.805)

No. 2
Tb2Tm5Sc12: optimized geometry, GGA-PBE.

Formation energy: 0.13 eV per atom
Total magnetic moment: 0.00 μB/atom

Unit cell a=8.618 b=8.618 c=8.071 alpha=91.72 beta=91.72 gamma=59.68
Sites, in units of the cell vectors:
Tb (0.188, 0.812, 0.000)
Tb (0.812, 0.188, 0.000)
Tm (0.202, 0.202, 0.004)
Tm (0.264, 0.264, 0.421)
Tm (0.500, 0.500, 0.500)
Tm (0.736, 0.736, 0.579)
Tm (0.798, 0.798, 0.996)
Sc (0.052, 0.052, 0.334)
Sc (0.063, 0.682, 0.346)
Sc (0.166, 0.525, 0.751)
Sc (0.318, 0.937, 0.654)
Sc (0.409, 0.409, 0.118)
Sc (0.475, 0.834, 0.249)
Sc (0.525, 0.166, 0.751)
Sc (0.591, 0.591, 0.882)
Sc (0.682, 0.063, 0.346)
Sc (0.834, 0.475, 0.249)
Sc (0.937, 0.318, 0.654)
Sc (0.948, 0.948, 0.666)

> total magnetic moment of number 2 (Tb2Tm5Sc12)?

0.00 μB/atom

Please write out number 1 again, unchanged.
CdHg2Br: optimized geometry, GGA-PBE.

Energy relative to the elements, uncorrected: -0.15 eV/atom
Offset from the most stable computed form: 47 meV per atom
Total magnetic moment: 0.00 μB/atom

Unit cell a=3.616 b=3.616 c=8.594 alpha=90.00 beta=90.00 gamma=90.00
Sites, in units of the cell vectors:
Cd (0.000, 0.000, 0.000)
Hg (0.000, 0.000, 0.475)
Hg (0.500, 0.500, 0.219)
Br (0.500, 0.500, 0.805)

Please write out number 2 again, unchanged.
Tb2Tm5Sc12: optimized geometry, GGA-PBE.

Formation energy: 0.13 eV per atom
Total magnetic moment: 0.00 μB/atom

Unit cell a=8.618 b=8.618 c=8.071 alpha=91.72 beta=91.72 gamma=59.68
Sites, in units of the cell vectors:
Tb (0.188, 0.812, 0.000)
Tb (0.812, 0.188, 0.000)
Tm (0.202, 0.202, 0.004)
Tm (0.264, 0.264, 0.421)
Tm (0.500, 0.500, 0.500)
Tm (0.736, 0.736, 0.579)
Tm (0.798, 0.798, 0.996)
Sc (0.052, 0.052, 0.334)
Sc (0.063, 0.682, 0.346)
Sc (0.166, 0.525, 0.751)
Sc (0.318, 0.937, 0.654)
Sc (0.409, 0.409, 0.118)
Sc (0.475, 0.834, 0.249)
Sc (0.525, 0.166, 0.751)
Sc (0.591, 0.591, 0.882)
Sc (0.682, 0.063, 0.346)
Sc (0.834, 0.475, 0.249)
Sc (0.937, 0.318, 0.654)
Sc (0.948, 0.948, 0.666)

> Which value of total magnetic moment does entry 1 give?

0.00 μB/atom